DFT (PBE) results for a relaxed Ce2SmRhN4 crystal.

Lattice parameters (Å, degrees): 6.1787 6.1787 11.8086 90.00 90.00 147.88
With the nearest neighbours (Å) after each atom.
Fractional positions:
Ce 0.1299 0.8701 0.5529  6 N 2.34-2.55
Ce 0.1299 0.8701 0.9471  6 N 2.34-2.55
Ce 0.8701 0.1299 0.0529  6 N 2.34-2.55
Ce 0.8701 0.1299 0.4471  6 N 2.34-2.55
Sm 0.3875 0.6125 0.7500  6 N 2.50-2.66
Sm 0.6125 0.3875 0.2500  6 N 2.50-2.66
Rh 0.3509 0.6491 0.2500  4 N 2.13-2.14
Rh 0.6491 0.3509 0.7500  4 N 2.13-2.14
N 0.0413 0.9587 0.7500  2 Rh 2.14
N 0.2262 0.7738 0.1203  1 Rh 2.13, 1 Ce 2.34
N 0.2262 0.7738 0.3797  1 Rh 2.13, 1 Ce 2.34
N 0.5000 0.5000 0.0000  4 Ce 2.39
N 0.5000 0.5000 0.5000  4 Ce 2.39
N 0.7738 0.2262 0.6203  1 Rh 2.13, 1 Ce 2.34
N 0.7738 0.2262 0.8797  1 Rh 2.13, 1 Ce 2.34
N 0.9587 0.0413 0.2500  2 Rh 2.14

As for the raw total energy: -8.20 eV per atom. Its symmetry is No. 63. The calculation puts the density of states at the Fermi level at 10.6 states/eV per cell.


DFT (PBE) results for a relaxed Ga2CuHg crystal.

Lattice parameters (Å, degrees): 3.2862 3.2862 6.9489 90.00 90.00 90.00
With the nearest neighbours (Å) after each atom.
Fractional positions:
Ga 0.0000 0.0000 0.1999  4 Cu 2.71, 1 Ga 2.78
Ga 0.0000 0.0000 0.8001  4 Cu 2.71, 1 Ga 2.78
Cu 0.5000 0.5000 0.0000  8 Ga 2.71
Hg 0.5000 0.5000 0.5000  8 Ga 3.12, 4 Hg 3.29, 2 Cu 3.47

As for the raw total energy: -2.50 eV per atom. Its symmetry is No. 123. The calculation puts the density of states at the Fermi level at 1.3 states/eV per cell. The calculation puts the energy of formation from the pure elements at 43 kJ/mol of formula units.